Entry 1:
# LiZnReOs

An optimized crystal structure of LiZnReOs (PBE, OQMD via LeMat-Bulk).

## Properties
Energy ... -6.6860 eV per atom
Energy above the lowest structure with this stoichiometry ... 0.000 eV/atom

abc: 5.995 5.995 5.995
angles: 90.00 90.00 90.00
Space group F-43m (No. 216)
Symmetry-distinct sites (fractional):
Li: 0.000 0.000 0.000 x4
Zn: 0.250 0.250 0.750 x4
Re: 0.250 0.250 0.250 x4
Os: 0.000 0.000 0.500 x4

Entry 2:
# PrGeHO4

An optimized crystal structure of PrGeHO4 (PBE, OQMD via LeMat-Bulk).

## Properties
Energy ... -6.8330 eV per atom
Energy above the lowest structure with this stoichiometry ... 0.000 eV/atom

abc: 7.976 6.748 7.195
angles: 90.00 111.37 90.00
Space group P2_1/c (No. 14)
Symmetry-distinct sites (fractional):
Pr: 0.225 0.133 0.116 x4
Ge: 0.239 0.614 0.130 x4
H: 0.431 0.665 0.871 x4
O: 0.082 0.696 0.550 x4
O: 0.213 0.066 0.791 x4
O: 0.286 0.024 0.448 x4
O: 0.448 0.748 0.765 x4

Entry 3:
# Sr2InAg

An optimized crystal structure of Sr2InAg (PBE, OQMD via LeMat-Bulk).

## Properties
Energy ... -2.4203 eV per atom

abc: 7.658 7.658 7.658
angles: 90.00 90.00 90.00
Space group F-43m (No. 216)
Symmetry-distinct sites (fractional):
Sr: 0.000 0.000 0.000 x4
Sr: 0.250 0.250 0.250 x4
In: 0.000 0.000 0.500 x4
Ag: 0.250 0.250 0.750 x4

Entry 4:
# Li4Zn2InNi

An optimized crystal structure of Li4Zn2InNi (PBE, OQMD via LeMat-Bulk).

## Properties
Energy ... -2.4919 eV per atom

abc: 4.288 4.288 6.267
angles: 90.00 90.00 90.00
Space group P-4m2 (No. 115)
Symmetry-distinct sites (fractional):
Li: 0.000 0.000 0.000 x1
Li: 0.000 0.500 0.220 x2
Li: 0.500 0.500 0.500 x1
Zn: 0.000 0.500 0.785 x2
In: 0.000 0.000 0.500 x1
Ni: 0.500 0.500 0.000 x1

Entry 5:
# TlAuSeO

An optimized crystal structure of TlAuSeO (PBE, OQMD via LeMat-Bulk).

## Properties
Energy ... -3.5979 eV per atom
Energy above the lowest structure with this stoichiometry ... 0.223 eV/atom

abc: 4.127 7.025 6.399
angles: 90.00 90.00 90.00
Space group Pmc2_1 (No. 26)
Symmetry-distinct sites (fractional):
Tl: 0.000 0.144 0.000 x2
Au: 0.500 0.303 0.562 x2
Se: 0.500 0.344 0.166 x2
O: 0.000 0.140 0.656 x2

Entry 6:
# Er2Pb2O5

An optimized crystal structure of Er2Pb2O5 (PBE, OQMD via LeMat-Bulk).

## Properties
Energy ... -5.8959 eV per atom
Energy above the lowest structure with this stoichiometry ... 0.903 eV/atom

abc: 4.464 4.464 7.074
angles: 90.00 90.00 90.00
Space group P4/mmm (No. 123)
Symmetry-distinct sites (fractional):
Er: 0.000 0.000 0.000 x1
Er: 0.000 0.000 0.500 x1
Pb: 0.500 0.500 0.205 x2
O: 0.000 0.500 0.225 x4
O: 0.500 0.500 0.500 x1

Entry 7:
# KMgTeIr

An optimized crystal structure of KMgTeIr (PBE, OQMD via LeMat-Bulk).

## Properties
Energy ... -3.2618 eV per atom
Energy above the lowest structure with this stoichiometry ... 0.248 eV/atom

abc: 7.040 7.040 7.040
angles: 90.00 90.00 90.00
Space group F-43m (No. 216)
Symmetry-distinct sites (fractional):
K: 0.000 0.000 0.000 x4
Mg: 0.250 0.250 0.250 x4
Te: 0.000 0.000 0.500 x4
Ir: 0.250 0.250 0.750 x4

Entry 8:
# Fe2Re5As12

An optimized crystal structure of Fe2Re5As12 (PBE, OQMD via LeMat-Bulk).

## Properties
Energy ... -7.2101 eV per atom

abc: 12.846 15.811 3.114
angles: 90.00 90.00 90.00
Space group Pnnm (No. 58)
Symmetry-distinct sites (fractional):
Fe: 0.126 0.155 0.000 x4
Re: 0.000 0.500 0.500 x2
Re: 0.086 0.761 0.000 x4
Re: 0.183 0.896 0.500 x4
As: 0.031 0.921 0.000 x4
As: 0.068 0.260 0.500 x4
As: 0.096 0.597 0.000 x4
As: 0.155 0.406 0.500 x4
As: 0.207 0.060 0.500 x4
As: 0.231 0.741 0.500 x4

Entry 9:
# Mg2ZnAgAu4

An optimized crystal structure of Mg2ZnAgAu4 (PBE, OQMD via LeMat-Bulk).

## Properties
Energy ... -2.9298 eV per atom

abc: 4.564 4.564 6.703
angles: 90.00 90.00 90.00
Space group P4/mmm (No. 123)
Symmetry-distinct sites (fractional):
Mg: 0.000 0.000 0.000 x1
Mg: 0.500 0.500 0.500 x1
Zn: 0.000 0.000 0.500 x1
Ag: 0.500 0.500 0.000 x1
Au: 0.000 0.500 0.263 x4

Entry 10:
# PrNpBr2Cl4

An optimized crystal structure of PrNpBr2Cl4 (PBE, OQMD via LeMat-Bulk).

## Properties
Energy ... -5.4243 eV per atom

abc: 7.427 4.341 7.672
angles: 90.00 117.71 90.00
Space group Pm (No. 6)
Symmetry-distinct sites (fractional):
Pr: 0.000 0.000 0.000 x1
Np: 0.659 0.500 0.325 x1
Br: 0.044 0.500 0.739 x1
Br: 0.614 0.000 0.582 x1
Cl: 0.238 0.500 0.262 x1
Cl: 0.427 0.000 0.067 x1
Cl: 0.726 0.500 0.977 x1
Cl: 0.930 0.000 0.350 x1

Entry 11:
# Zr2Pt

An optimized crystal structure of Zr2Pt (PBE, OQMD via LeMat-Bulk).

## Properties
DFT formation energy ... -0.506 eV/atom
Energy ... -8.2228 eV per atom

abc: 5.2302 5.2302 4.9587
angles: 90.00 90.00 120.00
Space group P-62m (No. 189)
Symmetry-distinct sites (fractional):
Zr: 0.0000 0.0000 0.0000 x1
Zr: 0.0000 0.6410 0.5000 x3
Pt: 0.3333 0.6667 0.0000 x2

Entry 12:
# Dy2HoCd3Ga3

An optimized crystal structure of Dy2HoCd3Ga3 (PBE, OQMD via LeMat-Bulk).

## Properties
Energy ... -3.3599 eV per atom

abc: 4.405 12.550 7.254
angles: 90.00 90.00 90.00
Space group Amm2 (No. 38)
Symmetry-distinct sites (fractional):
Dy: 0.000 0.212 0.000 x4
Ho: 0.000 0.000 0.363 x2
Cd: 0.500 0.000 0.037 x2
Cd: 0.500 0.125 0.663 x4
Ga: 0.000 0.000 0.787 x2
Ga: 0.500 0.166 0.288 x4

Entry 13:
# TmPuGa

An optimized crystal structure of TmPuGa (PBE, OQMD via LeMat-Bulk).

## Properties
Energy ... -7.2866 eV per atom
Energy above the lowest structure with this stoichiometry ... 0.000 eV/atom

abc: 6.923 6.923 6.923
angles: 90.00 90.00 90.00
Space group F-43m (No. 216)
Symmetry-distinct sites (fractional):
Tm: 0.000 0.000 0.000 x4
Pu: 0.000 0.000 0.500 x4
Ga: 0.250 0.250 0.750 x4

Entry 14:
# Si2Os

An optimized crystal structure of Si2Os (PBE, OQMD via LeMat-Bulk).

## Properties
Energy ... -7.6067 eV per atom

abc: 5.514 3.922 7.608
angles: 90.00 90.00 90.00
Space group Pnma (No. 62)
Symmetry-distinct sites (fractional):
Si: 0.073 0.250 0.143 x4
Si: 0.157 0.250 0.515 x4
Os: 0.237 0.750 0.329 x4

Entry 15:
# TbSmSbI2

An optimized crystal structure of TbSmSbI2 (PBE, OQMD via LeMat-Bulk).

## Properties
Energy ... -4.6087 eV per atom

abc: 4.3790 4.3790 11.3212
angles: 90.00 90.00 120.00
Space group P3m1 (No. 156)
Symmetry-distinct sites (fractional):
Tb: 0.0000 0.0000 0.0000 x1
Sm: 0.3333 0.6667 0.3030 x1
Sb: 0.6667 0.3333 0.1478 x1
I: 0.0000 0.0000 0.4789 x1
I: 0.3333 0.6667 0.8288 x1

Entry 16:
# Cu7Ag

An optimized crystal structure of Cu7Ag (PBE, OQMD via LeMat-Bulk).

## Properties
DFT formation energy ... 0.058 eV/atom
Energy ... -3.5471 eV per atom
Energy above the lowest structure with this stoichiometry ... 0.016 eV/atom

abc: 7.385 7.385 7.385
angles: 90.00 90.00 90.00
Space group Fm-3m (No. 225)
Symmetry-distinct sites (fractional):
Cu: 0.000 0.000 0.000 x4
Cu: 0.000 0.250 0.250 x24
Ag: 0.000 0.000 0.500 x4

Entry 17:
# InHPd3

An optimized crystal structure of InHPd3 (PBE, OQMD via LeMat-Bulk).

## Properties
Energy ... -4.7711 eV per atom
Energy above the lowest structure with this stoichiometry ... 0.005 eV/atom

abc: 5.708 5.708 4.077
angles: 90.00 90.00 90.00
Space group P4/mbm (No. 127)
Symmetry-distinct sites (fractional):
In: 0.000 0.500 0.000 x2
H: 0.000 0.000 0.500 x2
Pd: 0.000 0.000 0.000 x2
Pd: 0.249 0.251 0.500 x4

Entry 18:
# Dy2Ag

An optimized crystal structure of Dy2Ag (PBE, OQMD via LeMat-Bulk).

## Properties
DFT formation energy ... 1.465 eV/atom
Energy ... -2.5438 eV per atom

abc: 12.558 12.558 12.558
angles: 90.00 90.00 90.00
Space group Fd-3m (No. 227, origin choice 2)
Symmetry-distinct sites (fractional):
Dy: 0.000 0.000 0.000 x16
Ag: 0.125 0.125 0.125 x8

Entry 19:
# BeBiPt3

An optimized crystal structure of BeBiPt3 (PBE, OQMD via LeMat-Bulk).

## Properties
Energy ... -5.6143 eV per atom

abc: 3.974 3.974 10.531
angles: 90.00 90.00 90.00
Space group P4/nmm (No. 129, origin choice 2)
Symmetry-distinct sites (fractional):
Be: 0.250 0.250 0.002 x2
Bi: 0.250 0.250 0.390 x2
Pt: 0.250 0.250 0.671 x2
Pt: 0.250 0.750 0.135 x4

Entry 20:
# ZnTePtO

An optimized crystal structure of ZnTePtO (PBE, OQMD via LeMat-Bulk).

## Properties
Energy ... -4.2398 eV per atom
Energy above the lowest structure with this stoichiometry ... 0.194 eV/atom

abc: 6.236 6.551 7.999
angles: 90.00 90.00 90.00
Space group P2_12_12_1 (No. 19)
Symmetry-distinct sites (fractional):
Zn: 0.121 0.135 0.390 x4
Te: 0.210 0.349 0.113 x4
Pt: 0.007 0.919 0.758 x4
O: 0.121 0.167 0.629 x4

| no. | density (g/cm³) |
| --- | --- |
| 1 | 13.83 |
| 2 | 5.13 |
| 3 | 5.88 |
| 4 | 4.78 |
| 5 | 8.88 |
| 6 | 9.76 |
| 7 | 7.30 |
| 8 | 10.19 |
| 9 | 12.01 |
| 10 | 5.15 |
| 11 | 10.67 |
| 12 | 8.58 |
| 13 | 9.66 |
| 14 | 9.95 |
| 15 | 6.05 |
| 16 | 9.12 |
| 17 | 10.88 |
| 18 | 2.90 |
| 19 | 16.04 |
| 20 | 8.21 |